No. 1
This record from Alexandria via LeMat-Bulk describes a geometry-optimized Ca2GaBiP structure. The functional is PBE.

abc: 7.313 4.330 9.389
angles: 90.00 107.18 90.00
Element x y z (fractional)
Ca  0.212  0.250  0.477
Ca  0.233  0.250  0.885
Ca  0.767  0.750  0.115
Ca  0.788  0.750  0.523
Ga  0.494  0.250  0.295
Ga  0.506  0.750  0.705
Bi  0.257  0.750  0.172
Bi  0.743  0.250  0.828
P  0.180  0.750  0.680
P  0.820  0.250  0.320

Properties
V = 28.40 A^3/atom
DOS at the Fermi energy = 2.31 states/eV/f.u.
energy = -3.98 eV/atom

---

No. 2
This record from Alexandria via LeMat-Bulk describes a geometry-optimized CaGaBiPb structure. The functional is PBE.

abc: 5.501 5.501 5.501
angles: 60.00 60.00 60.00
Element x y z (fractional)
Ca  0.000  0.000  0.000
Ga  0.250  0.250  0.250
Bi  0.750  0.750  0.750
Pb  0.500  0.500  0.500

Properties
V = 29.43 A^3/atom
DOS at the Fermi energy = 3.00 states/eV/f.u.
energy = -3.36 eV/atom

---

No. 3
This record from Alexandria via LeMat-Bulk describes a geometry-optimized CaPuGaBi structure. The functional is PBE.

abc: 5.382 5.382 5.382
angles: 60.00 60.00 60.00
Element x y z (fractional)
Ca  0.000  0.000  0.000
Pu  0.500  0.500  0.500
Ga  0.750  0.750  0.750
Bi  0.250  0.250  0.250

Properties
V = 27.55 A^3/atom
DOS at the Fermi energy = 12.25 states/eV/f.u.
energy = -6.15 eV/atom

---

No. 4
This record from Alexandria via LeMat-Bulk describes a geometry-optimized Ca2GaBiSb structure. The functional is PBE.

abc: 7.247 4.564 8.872
angles: 90.00 90.00 90.00
Element x y z (fractional)
Ca  0.244  0.250  0.032
Ca  0.244  0.250  0.469
Ca  0.756  0.750  0.531
Ca  0.756  0.750  0.968
Ga  0.433  0.750  0.251
Ga  0.567  0.250  0.749
Bi  0.337  0.750  0.750
Bi  0.663  0.250  0.250
Sb  0.059  0.750  0.250
Sb  0.941  0.250  0.750

Properties
V = 29.34 A^3/atom
DOS at the Fermi energy = 2.26 states/eV/f.u.
raw formation energy = -0.631 eV per atom

---

No. 5
This record from Alexandria via LeMat-Bulk describes a geometry-optimized CaGaSnBi structure. The functional is PBE.

abc: 5.427 5.427 5.427
angles: 60.00 60.00 60.00
Element x y z (fractional)
Ca  0.000  0.000  0.000
Ga  0.750  0.750  0.750
Sn  0.500  0.500  0.500
Bi  0.250  0.250  0.250

Properties
V = 28.25 A^3/atom
DOS at the Fermi energy = 3.17 states/eV/f.u.
energy = -3.42 eV/atom

---

No. 6
This record from Alexandria via LeMat-Bulk describes a geometry-optimized CaTlGaBi structure. The functional is PBE.

abc: 5.445 5.445 5.445
angles: 60.00 60.00 60.00
Element x y z (fractional)
Ca  0.000  0.000  0.000
Tl  0.250  0.250  0.250
Ga  0.500  0.500  0.500
Bi  0.750  0.750  0.750

Properties
V = 28.53 A^3/atom
DOS at the Fermi energy = 2.39 states/eV/f.u.
energy = -3.04 eV/atom

---

No. 7
This record from Alexandria via LeMat-Bulk describes a geometry-optimized CaGdBi2 structure. The functional is PBE.

abc: 8.205 8.205 8.205
angles: 31.67 31.67 31.67
Element x y z (fractional)
Ca  0.000  0.000  0.000
Gd  0.500  0.500  0.500
Bi  0.247  0.247  0.247
Bi  0.753  0.753  0.753

Properties
V = 33.81 A^3/atom
DOS at the Fermi energy = 2.57 states/eV/f.u.
energy above the lowest structure with this stoichiometry = 0.000 eV/atom

---

No. 8
This record from Alexandria via LeMat-Bulk describes a geometry-optimized CaGdBi2 structure. The functional is PBE.

abc: 5.589 5.589 5.589
angles: 60.00 60.00 60.00
Element x y z (fractional)
Ca  0.000  0.000  0.000
Gd  0.500  0.500  0.500
Bi  0.250  0.250  0.250
Bi  0.750  0.750  0.750

Properties
V = 30.86 A^3/atom
DOS at the Fermi energy = 2.76 states/eV/f.u.
energy above the lowest structure with this stoichiometry = 0.072 eV/atom

---

Question: Number 3 is which compound?
Answer: CaPuGaBi